Entry 1:
Below is a geometry-optimized CaNdAl structure, with properties calculated at the PBE-GGA level.

Cell: 3.6457 3.6457 13.7226 Å, 90.00 90.00 90.00°
With the nearest neighbours (Å) after each atom.
Sites, in units of the cell vectors:
Ca 0.0000 0.0000 0.0000  4 Al 3.25
Ca 0.5000 0.5000 0.5000  4 Al 3.25
Nd 0.0000 0.0000 0.7225  4 Al 3.16
Nd 0.5000 0.5000 0.2225  4 Al 3.16
Al 0.0000 0.0000 0.3563  4 Nd 3.16, 4 Ca 3.25
Al 0.5000 0.5000 0.8563  4 Nd 3.16, 4 Ca 3.25

The value obtained for the density of states at the Fermi level is 0.610 states/eV/atom. For the formation energy, the calculation gives -0.178 eV/atom.

---

Entry 2:
Below is a geometry-optimized CaNdAl structure, with properties calculated at the PBE-GGA level.

Cell: 3.5766 3.5766 29.3029 Å, 90.00 90.00 90.00°
With the nearest neighbours (Å) after each atom.
Sites, in units of the cell vectors:
Ca 0.0000 0.0000 0.1961  4 Al 3.21, 4 Ca 3.58
Ca 0.0000 0.0000 0.8039  4 Al 3.21, 4 Ca 3.58
Ca 0.5000 0.5000 0.3039  4 Al 3.21, 4 Ca 3.58
Ca 0.5000 0.5000 0.6961  4 Al 3.21, 4 Ca 3.58
Nd 0.0000 0.0000 0.0644  4 Al 3.15
Nd 0.0000 0.0000 0.9356  4 Al 3.15
Nd 0.5000 0.5000 0.4356  4 Al 3.15
Nd 0.5000 0.5000 0.5644  4 Al 3.15
Al 0.0000 0.0000 0.3716  4 Nd 3.15, 4 Ca 3.21
Al 0.0000 0.0000 0.6284  4 Nd 3.15, 4 Ca 3.21
Al 0.5000 0.5000 0.1284  4 Nd 3.15, 4 Ca 3.21
Al 0.5000 0.5000 0.8716  4 Nd 3.15, 4 Ca 3.21

The value obtained for the density of states at the Fermi level is 1.047 states/eV/atom. For the formation energy, the calculation gives -0.110 eV/atom.

---

Entry 3:
Below is a geometry-optimized CaNd2Al6 structure, with properties calculated at the PBE-GGA level.

Cell: 8.0078 8.0078 3.6869 Å, 90.00 90.00 120.00°
With the nearest neighbours (Å) after each atom.
Sites, in units of the cell vectors:
Ca 0.0000 0.0000 0.0000  12 Al 3.24
Nd 0.3333 0.6667 0.0000  12 Al 3.24
Nd 0.6667 0.3333 0.0000  12 Al 3.24
Al 0.0000 0.3331 0.5000  3 Al 2.67
Al 0.0000 0.6669 0.5000  3 Al 2.67
Al 0.3331 0.0000 0.5000  3 Al 2.67
Al 0.3331 0.3331 0.5000  3 Al 2.67
Al 0.6669 0.0000 0.5000  3 Al 2.67
Al 0.6669 0.6669 0.5000  3 Al 2.67

The value obtained for the density of states at the Fermi level is 0.530 states/eV/atom. For the formation energy, the calculation gives -0.395 eV/atom.

---

Entry 4:
Below is a geometry-optimized CaNdAl structure, with properties calculated at the PBE-GGA level.

Cell: 5.2583 5.2583 3.6274 Å, 90.00 90.00 120.00°
With the nearest neighbours (Å) after each atom.
Sites, in units of the cell vectors:
Ca 0.0000 0.0000 0.0000  3 Al 3.19, 3 Nd 3.40
Nd 0.3333 0.6667 0.5801  3 Al 3.24, 3 Ca 3.40, 2 Nd 3.63
Al 0.6667 0.3333 0.2685  3 Ca 3.19, 3 Nd 3.24

The value obtained for the density of states at the Fermi level is 0.864 states/eV/atom. For the formation energy, the calculation gives -0.059 eV/atom.

---

Entry 5:
Below is a geometry-optimized CaNd5Al3 structure, with properties calculated at the PBE-GGA level.

Cell: 9.3674 9.3674 6.8442 Å, 90.00 90.00 120.00°
With the nearest neighbours (Å) after each atom.
Sites, in units of the cell vectors:
Ca 0.0000 0.0000 0.0000  2 Ca 3.42, 6 Nd 3.56, 6 Al 3.56
Ca 0.0000 0.0000 0.5000  2 Ca 3.42, 6 Nd 3.56, 6 Al 3.56
Nd 0.0000 0.3330 0.2500  5 Al 3.12-3.42
Nd 0.0000 0.6670 0.7500  5 Al 3.12-3.42
Nd 0.3330 0.0000 0.2500  5 Al 3.12-3.42
Nd 0.3330 0.3330 0.7500  5 Al 3.12-3.42
Nd 0.3333 0.6667 0.0000  8 Nd 3.42-3.56, 6 Al 3.56
Nd 0.3333 0.6667 0.5000  8 Nd 3.42-3.56, 6 Al 3.56
Nd 0.6670 0.0000 0.7500  5 Al 3.12-3.42
Nd 0.6667 0.3333 0.0000  8 Nd 3.42-3.56, 6 Al 3.56
Nd 0.6667 0.3333 0.5000  8 Nd 3.42-3.56, 6 Al 3.56
Nd 0.6670 0.6670 0.2500  5 Al 3.12-3.42
Al 0.0000 0.3335 0.7500  5 Nd 3.12-3.42
Al 0.0000 0.6665 0.2500  5 Nd 3.12-3.42
Al 0.3335 0.0000 0.7500  5 Nd 3.12-3.42
Al 0.3335 0.3335 0.2500  5 Nd 3.12-3.42
Al 0.6665 0.0000 0.2500  5 Nd 3.12-3.42
Al 0.6665 0.6665 0.7500  5 Nd 3.12-3.42

The value obtained for the density of states at the Fermi level is 0.960 states/eV/atom. For the formation energy, the calculation gives -0.240 eV/atom.

---

Entry 6:
Below is a geometry-optimized CaNdAl2 structure, with properties calculated at the PBE-GGA level.

Cell: 3.6809 3.6809 7.5800 Å, 90.00 90.00 90.00°
With the nearest neighbours (Å) after each atom.
Sites, in units of the cell vectors:
Ca 0.0000 0.0000 0.0000  8 Al 3.20
Nd 0.0000 0.0000 0.5000  8 Al 3.24
Al 0.5000 0.5000 0.2454  4 Ca 3.20, 4 Nd 3.24
Al 0.5000 0.5000 0.7546  4 Ca 3.20, 4 Nd 3.24

The value obtained for the density of states at the Fermi level is 0.406 states/eV/atom. For the formation energy, the calculation gives -0.271 eV/atom.